1.
Density functional theory data (GGA-PBE) for a geometry-optimized TcPPb3 structure.

Calculated values
ΔH_f (0 K) = 1184 meV per atom
Fermi-level density of states = 1.1146 states/eV per atom
Energy above the lowest structure with this stoichiometry = 2.484 eV per formula unit
Energy = -4.196 eV/atom

CIF file:
```
data_TcPPb3
_cell_length_a 5.373
_cell_length_b 5.373
_cell_length_c 5.373
_cell_angle_alpha 90.00
_cell_angle_beta 90.00
_cell_angle_gamma 90.00
_symmetry_space_group_name_H-M 'P 1'
_symmetry_Int_Tables_number 1
loop_
_symmetry_equiv_pos_as_xyz
'x,y,z'
loop_
_atom_site_label
_atom_site_type_symbol
_atom_site_fract_x
_atom_site_fract_y
_atom_site_fract_z
_atom_site_occupancy
Tc1 Tc 0.000 0.000 0.000 1
P1 P 0.500 0.500 0.500 1
Pb1 Pb 0.000 0.500 0.500 1
Pb2 Pb 0.500 0.000 0.500 1
Pb3 Pb 0.500 0.500 0.000 1
```

=====

2.
Density functional theory data (GGA-PBE) for a geometry-optimized TmHfInTc structure.

Calculated values
ΔH_f (0 K) = -181 meV per atom
Fermi-level density of states = 0.6054 states/eV per atom
Energy = -7.063 eV/atom

CIF file:
```
data_TmHfInTc
_cell_length_a 6.915
_cell_length_b 6.915
_cell_length_c 6.915
_cell_angle_alpha 90.00
_cell_angle_beta 90.00
_cell_angle_gamma 90.00
_symmetry_space_group_name_H-M 'P 1'
_symmetry_Int_Tables_number 1
loop_
_symmetry_equiv_pos_as_xyz
'x,y,z'
loop_
_atom_site_label
_atom_site_type_symbol
_atom_site_fract_x
_atom_site_fract_y
_atom_site_fract_z
_atom_site_occupancy
Tm1 Tm 0.000 0.000 0.000 1
Tm2 Tm 0.000 0.500 0.500 1
Tm3 Tm 0.500 0.000 0.500 1
Tm4 Tm 0.500 0.500 0.000 1
Hf1 Hf 0.000 0.000 0.500 1
Hf2 Hf 0.000 0.500 0.000 1
Hf3 Hf 0.500 0.000 0.000 1
Hf4 Hf 0.500 0.500 0.500 1
In1 In 0.250 0.250 0.750 1
In2 In 0.250 0.750 0.250 1
In3 In 0.750 0.250 0.250 1
In4 In 0.750 0.750 0.750 1
Tc1 Tc 0.250 0.250 0.250 1
Tc2 Tc 0.250 0.750 0.750 1
Tc3 Tc 0.750 0.250 0.750 1
Tc4 Tc 0.750 0.750 0.250 1
```

=====

3.
Density functional theory data (GGA-PBE) for a geometry-optimized ZnBSb2I structure.

Calculated values
Formation energy from raw total energies = 1352 meV/atom
Fermi-level density of states = 0.6797 states/eV per atom
Energy above the lowest structure with this stoichiometry = 2.503 eV per formula unit
Energy = -2.197 eV/atom

CIF file:
```
data_ZnBSb2I
_cell_length_a 5.165
_cell_length_b 5.165
_cell_length_c 5.781
_cell_angle_alpha 90.00
_cell_angle_beta 90.00
_cell_angle_gamma 90.00
_symmetry_space_group_name_H-M 'P 1'
_symmetry_Int_Tables_number 1
loop_
_symmetry_equiv_pos_as_xyz
'x,y,z'
loop_
_atom_site_label
_atom_site_type_symbol
_atom_site_fract_x
_atom_site_fract_y
_atom_site_fract_z
_atom_site_occupancy
Zn1 Zn 0.000 0.000 0.000 1
B1 B 0.500 0.500 0.500 1
Sb1 Sb 0.000 0.500 0.000 1
Sb2 Sb 0.500 0.000 0.000 1
I1 I 0.000 0.000 0.500 1
```

=====

- Which formula does entry 1 have?
  TcPPb3

=====

- Look up the Fermi-level density of states of the second one.
  0.6054 states/eV per atom

=====

- Among the records above, which one has the lowest energy?
  TmHfInTc